## DyTlV2O8 (PBE with a Hubbard U)

Data for crystalline DyTlV2O8 at its relaxed geometry. Values from VASP.

```
&SYSTEM
  ibrav = 0, nat = 12, ntyp = 4
/
ATOMIC_SPECIES
V 50.94 V.upf
O 16.00 O.upf
Tl 204.38 Tl.upf
Dy 162.50 Dy.upf
ATOMIC_POSITIONS crystal
V 0.5000 0.5000 0.0000
V 0.7500 0.2500 0.5000
O 0.3236 0.1387 0.8151
O 0.8613 0.6764 0.1849
O 0.3916 0.0820 0.3097
O 0.9180 0.2277 0.3097
O 0.7723 0.0820 0.6903
O 0.9180 0.6084 0.6903
O 0.3236 0.5085 0.1849
O 0.4915 0.6764 0.8151
Tl 0.2500 0.7500 0.5000
Dy 0.0000 0.0000 0.0000
CELL_PARAMETERS angstrom
-5.9698 0.3821 -0.5226
1.9940 -1.7244 5.3952
2.1684 5.5178 -0.9540
```

Computed properties:
Volume: 13.78 Å³/atom
Space group: I-4m2, No. 119
VASP energy: -85.60 eV/cell
Magnetization: 0.00 Bohr magnetons per cell